This record from Alexandria describes a relaxed SmEr5Sc crystal. The functional is PBE.

Cell lengths 9.120, 3.539, 13.564 Å; angles 90.00, 102.35, 90.00 degrees
Atoms (fractional coordinates):
1 Sm 0.113 0.250 0.136
2 Sm 0.887 0.750 0.864
3 Er 0.006 0.750 0.370
4 Er 0.203 0.250 0.884
5 Er 0.328 0.250 0.507
6 Er 0.349 0.750 0.722
7 Er 0.419 0.750 0.083
8 Er 0.581 0.250 0.917
9 Er 0.651 0.250 0.278
10 Er 0.672 0.750 0.493
11 Er 0.797 0.750 0.116
12 Er 0.994 0.250 0.630
13 Sc 0.352 0.750 0.308
14 Sc 0.648 0.250 0.692

Computed properties:
Its space group is No. 11. Its formation energy is 1.5 kcal/mol of atoms. The value obtained for the energy above the most stable polymorph in this dataset is 0.000 eV/atom.